# 1
Crystalline Ac3La3TlZn2 at its relaxed geometry. Source: Alexandria, functional PBE.

## Properties
DOS at the Fermi energy: 12.6 states/eV per cell
crystal system: hexagonal
E: -0.27510 Ry per atom

a = 8.450 Å, b = 8.450 Å, c = 4.910 Å
α = 90.00°, β = 90.00°, γ = 120.00°
Positions (direct):
Ac  0.000  0.592  0.000
Ac  0.408  0.408  0.000
Ac  0.592  0.000  0.000
La  0.000  0.279  0.500
La  0.279  0.000  0.500
La  0.721  0.721  0.500
Tl  0.000  0.000  0.000
Zn  0.333  0.667  0.500
Zn  0.667  0.333  0.500



# 2
Crystalline Ac2LaTm at its relaxed geometry. Source: Alexandria, functional PBE.

## Properties
DOS at the Fermi energy: 6.4 states/eV per cell
crystal system: trigonal
energy above the most stable polymorph in this dataset: 0.024 eV per atom
E: -0.31935 Ry per atom

a = 12.478 Å, b = 12.478 Å, c = 12.478 Å
α = 17.65°, β = 17.65°, γ = 17.65°
Positions (direct):
Ac  0.000  0.000  0.000
Ac  0.172  0.172  0.172
La  0.754  0.754  0.754
Tm  0.586  0.586  0.586



# 3
Crystalline AcLa12Tm5 at its relaxed geometry. Source: Alexandria, functional PBE.

## Properties
DOS at the Fermi energy: 26.0 states/eV per cell
crystal system: monoclinic
E: -0.34550 Ry per atom

a = 10.744 Å, b = 5.834 Å, c = 10.786 Å
α = 90.00°, β = 110.08°, γ = 90.00°
Positions (direct):
Ac  0.000  0.000  0.000
La  0.011  0.000  0.667
La  0.168  0.500  0.547
La  0.178  0.500  0.233
La  0.332  0.000  0.282
La  0.334  0.000  0.947
La  0.494  0.500  0.830
La  0.506  0.500  0.170
La  0.666  0.000  0.053
La  0.668  0.000  0.718
La  0.822  0.500  0.767
La  0.832  0.500  0.453
La  0.989  0.000  0.333
Tm  0.163  0.500  0.885
Tm  0.339  0.000  0.610
Tm  0.500  0.500  0.500
Tm  0.661  0.000  0.390
Tm  0.837  0.500  0.115



# 4
Crystalline Ac7LaTm2 at its relaxed geometry. Source: Alexandria, functional PBE.

## Properties
DOS at the Fermi energy: 14.3 states/eV per cell
crystal system: orthorhombic
E: -0.26853 Ry per atom

a = 9.652 Å, b = 9.652 Å, c = 6.172 Å
α = 90.00°, β = 90.00°, γ = 116.45°
Positions (direct):
Ac  0.000  0.000  0.000
Ac  0.188  0.441  0.000
Ac  0.254  0.746  0.500
Ac  0.441  0.188  0.000
Ac  0.559  0.812  0.000
Ac  0.746  0.254  0.500
Ac  0.812  0.559  0.000
La  0.500  0.500  0.500
Tm  0.201  0.799  0.000
Tm  0.799  0.201  0.000



# 5
Crystalline AcLa15Tm4 at its relaxed geometry. Source: Alexandria, functional PBE.

## Properties
DOS at the Fermi energy: 30.2 states/eV per cell
crystal system: tetragonal
E: -0.35143 Ry per atom

a = 5.224 Å, b = 5.224 Å, c = 26.182 Å
α = 90.00°, β = 90.00°, γ = 90.00°
Positions (direct):
Ac  0.000  0.000  0.000
La  0.000  0.500  0.105
La  0.000  0.500  0.303
La  0.000  0.500  0.500
La  0.000  0.500  0.697
La  0.000  0.500  0.895
La  0.500  0.000  0.105
La  0.500  0.000  0.303
La  0.500  0.000  0.500
La  0.500  0.000  0.697
La  0.500  0.000  0.895
La  0.500  0.500  0.000
La  0.500  0.500  0.205
La  0.500  0.500  0.401
La  0.500  0.500  0.599
La  0.500  0.500  0.795
Tm  0.000  0.000  0.204
Tm  0.000  0.000  0.401
Tm  0.000  0.000  0.599
Tm  0.000  0.000  0.796



# 6
Crystalline AcLa12Tm6 at its relaxed geometry. Source: Alexandria, functional PBE.

## Properties
DOS at the Fermi energy: 33.0 states/eV per cell
crystal system: trigonal
E: -0.33218 Ry per atom

a = 9.399 Å, b = 9.399 Å, c = 9.399 Å
α = 107.68°, β = 107.68°, γ = 107.68°
Positions (direct):
Ac  0.000  0.000  0.000
La  0.163  0.827  0.302
La  0.173  0.698  0.837
La  0.216  0.546  0.451
La  0.302  0.163  0.827
La  0.451  0.216  0.546
La  0.454  0.549  0.784
La  0.546  0.451  0.216
La  0.549  0.784  0.454
La  0.698  0.837  0.173
La  0.784  0.454  0.549
La  0.827  0.302  0.163
La  0.837  0.173  0.698
Tm  0.055  0.190  0.474
Tm  0.190  0.474  0.055
Tm  0.474  0.055  0.190
Tm  0.526  0.945  0.810
Tm  0.810  0.526  0.945
Tm  0.945  0.810  0.526



# 7
Crystalline Ac2La2Tm3 at its relaxed geometry. Source: Alexandria, functional PBE.

## Properties
DOS at the Fermi energy: 21.6 states/eV per cell
crystal system: monoclinic
E: -0.31728 Ry per atom

a = 6.557 Å, b = 13.135 Å, c = 7.100 Å
α = 90.00°, β = 122.41°, γ = 90.00°
Positions (direct):
Ac  0.096  0.118  0.166
Ac  0.096  0.382  0.666
Ac  0.904  0.618  0.334
Ac  0.904  0.882  0.834
La  0.088  0.611  0.929
La  0.088  0.889  0.429
La  0.912  0.111  0.571
La  0.912  0.389  0.071
Tm  0.484  0.715  0.809
Tm  0.484  0.785  0.309
Tm  0.500  0.000  0.000
Tm  0.500  0.500  0.500
Tm  0.516  0.215  0.691
Tm  0.516  0.285  0.191



# 8
Crystalline Ac5La6Tm2 at its relaxed geometry. Source: Alexandria, functional PBE.

## Properties
DOS at the Fermi energy: 40.2 states/eV per cell
crystal system: orthorhombic
E: -0.32871 Ry per atom

a = 12.135 Å, b = 22.155 Å, c = 3.834 Å
α = 90.00°, β = 90.00°, γ = 90.00°
Positions (direct):
Ac  0.000  0.000  0.000
Ac  0.063  0.422  0.000
Ac  0.146  0.722  0.000
Ac  0.354  0.222  0.000
Ac  0.437  0.922  0.000
Ac  0.500  0.500  0.000
Ac  0.563  0.078  0.000
Ac  0.646  0.778  0.000
Ac  0.854  0.278  0.000
Ac  0.937  0.578  0.000
La  0.082  0.154  0.000
La  0.165  0.881  0.500
La  0.224  0.556  0.500
La  0.276  0.056  0.500
La  0.335  0.381  0.500
La  0.418  0.654  0.000
La  0.582  0.346  0.000
La  0.665  0.619  0.500
La  0.724  0.944  0.500
La  0.776  0.444  0.500
La  0.835  0.119  0.500
La  0.918  0.846  0.000
Tm  0.115  0.284  0.500
Tm  0.385  0.784  0.500
Tm  0.615  0.216  0.500
Tm  0.885  0.716  0.500